(1)
Entry from Alexandria via LeMat-Bulk: crystalline LiMoH3 at its relaxed geometry (PBE).

Space group: Pm-3m (221)

a = 3.184 Å, b = 3.184 Å, c = 3.184 Å
α = 90.00°, β = 90.00°, γ = 90.00°
Site moments in Bohr magnetons follow the coordinates.
Fractional positions:
1 H 0.500 0.000 0.000  -0.01
2 H 0.000 0.500 0.000  -0.01
3 H 0.000 0.000 0.500  -0.02
4 Li 0.000 0.000 0.000  0.00
5 Mo 0.500 0.500 0.500  1.08

---

(2)
Entry from Alexandria via LeMat-Bulk: crystalline LiMoH3 at its relaxed geometry (PBE).

Space group: R-3m (166)

a = 4.640 Å, b = 4.640 Å, c = 5.347 Å
α = 64.28°, β = 64.28°, γ = 60.00°
Fractional positions:
1 H 0.403 0.404 0.283
2 H 0.404 0.909 0.283
3 H 0.597 0.091 0.717
4 H 0.091 0.596 0.717
5 H 0.909 0.403 0.283
6 H 0.596 0.597 0.717
7 Li 0.890 0.890 0.329
8 Li 0.110 0.110 0.671
9 Mo 0.672 0.672 0.985
10 Mo 0.328 0.328 0.015

---

no.,density of states at the Fermi level (states/eV/atom),total DFT energy (no corrections) (eV per atom)
1,0.530,-4.234
2,0.362,-4.656